No. 1
Pr3Ga5O12, optimized geometry, DFT GGA-PBE; Fermi-level density of states = 0.000 states/eV/atom; formation energy from raw total energies = -4763 kJ/mol of formula units
1.0
11.005 0.000 0.000
-3.668 10.376 0.000
-3.668 -5.188 8.986
Ga O Pr
20 48 12
direct
0.375 0.625 0.750
0.625 0.750 0.375
0.750 0.375 0.625
0.000 0.000 0.500
0.500 0.000 0.000
0.250 0.625 0.375
0.500 0.000 0.500
0.875 0.250 0.125
0.500 0.500 0.500
0.750 0.875 0.125
0.500 0.500 0.000
0.875 0.125 0.750
0.000 0.500 0.000
0.125 0.875 0.250
0.000 0.500 0.500
0.375 0.250 0.625
0.125 0.750 0.875
0.000 0.000 0.000
0.250 0.125 0.875
0.625 0.375 0.250
0.403 0.821 0.522
0.119 0.597 0.918
0.478 0.597 0.179
0.381 0.582 0.903
0.321 0.918 0.300
0.522 0.403 0.821
0.418 0.097 0.619
0.022 0.321 0.903
0.097 0.619 0.418
0.321 0.903 0.022
0.800 0.418 0.821
0.821 0.800 0.418
0.679 0.082 0.700
0.881 0.403 0.082
0.119 0.022 0.200
0.700 0.679 0.082
0.200 0.119 0.022
0.478 0.381 0.300
0.582 0.179 0.200
0.821 0.522 0.403
0.597 0.179 0.478
0.522 0.619 0.700
0.022 0.200 0.119
0.403 0.082 0.881
0.881 0.978 0.800
0.903 0.381 0.582
0.918 0.119 0.597
0.082 0.881 0.403
0.582 0.903 0.381
0.300 0.321 0.918
0.903 0.022 0.321
0.978 0.800 0.881
0.800 0.881 0.978
0.597 0.918 0.119
0.418 0.821 0.800
0.679 0.097 0.978
0.381 0.300 0.478
0.300 0.478 0.381
0.619 0.418 0.097
0.082 0.700 0.679
0.619 0.700 0.522
0.097 0.978 0.679
0.200 0.582 0.179
0.700 0.522 0.619
0.978 0.679 0.097
0.179 0.478 0.597
0.918 0.300 0.321
0.179 0.200 0.582
0.875 0.750 0.625
0.125 0.250 0.375
0.875 0.625 0.250
0.625 0.250 0.875
0.250 0.875 0.625
0.750 0.625 0.875
0.375 0.750 0.125
0.125 0.375 0.750
0.375 0.125 0.250
0.625 0.875 0.750
0.750 0.125 0.375
0.250 0.375 0.125

No. 2
CaNd5Cd6, optimized geometry, DFT GGA-PBE; Fermi-level density of states = 1.078 states/eV/atom; ΔE_f = -0.328 eV per atom
1.0
-2.109 4.413 2.394
-0.717 -3.928 6.609
6.437 4.581 3.421
Nd Cd Ca
5 6 1
direct
0.335 0.000 0.330
0.332 0.500 0.336
0.665 0.000 0.670
0.000 0.500 0.000
0.668 0.500 0.664
0.500 0.750 0.000
0.834 0.752 0.333
0.500 0.250 0.000
0.166 0.248 0.667
0.834 0.248 0.333
0.166 0.752 0.667
0.000 0.000 0.000

No. 3
CeSmMnAg, optimized geometry, DFT GGA-PBE; Fermi-level density of states = 2.156 states/eV/atom; ΔE_f = 0.094 eV per atom
1.0
-0.776 3.567 -3.635
-1.755 -1.390 -4.639
-4.797 1.234 -1.415
Sm Ag Mn Ce
1 1 1 1
direct
0.000 0.000 0.000
0.250 0.250 0.250
0.750 0.750 0.750
0.500 0.500 0.500

No. 4
Sr2ZnC, optimized geometry, DFT GGA-PBE; Fermi-level density of states = 0.028 states/eV/atom; ΔE to the lowest computed polymorph = 0.000 eV per atom; ΔE_f = 0.621 eV per atom
1.0
-1.802 3.582 3.141
-1.260 4.586 -1.823
-4.896 1.382 -0.254
Zn Sr C
1 2 1
direct
0.500 0.500 0.500
0.250 0.250 0.250
0.750 0.750 0.750
0.000 0.000 0.000

No. 5
LaCu4Re, optimized geometry, DFT GGA-PBE; Fermi-level density of states = 0.383 states/eV/atom; ΔE_f = 0.264 eV per atom
1.0
0.000 3.584 3.584
3.584 0.000 3.584
3.584 3.584 0.000
Cu Re La
4 1 1
direct
0.373 0.881 0.373
0.373 0.373 0.373
0.373 0.373 0.881
0.881 0.373 0.373
0.000 0.000 0.000
0.750 0.750 0.750

No. 6
LaBeB2S, optimized geometry, DFT GGA-PBE; Fermi-level density of states = 0.289 states/eV/atom; formation energy from raw total energies = 169 kJ/mol of formula units
1.0
-2.831 -1.266 2.248
3.486 -4.684 1.751
1.364 2.099 2.899
La B Be S
1 2 1 1
direct
0.000 0.500 0.000
0.500 0.000 0.000
0.000 0.000 0.500
0.000 0.000 0.000
0.500 0.500 0.500